# TaCuOs2Br

A geometry-optimized TaCuOs2Br structure (PBE-GGA, Alexandria).

Results
The space-group type is P4/mmm. The value obtained for the total energy is -5.963 eV/atom. Its uncorrected formation energy is 2.053 eV/atom. The value obtained for the total magnetization is 0.00 μB per formula unit.

```
5
Lattice="4.5985 0.0000 0.0000 0.0000 4.5985 0.0000 0.0000 0.0000 4.3574" Properties=species:S:1:pos:R:3 pbc="T T T"
Ta 0.0000 0.0000 0.0000
Cu 2.2992 2.2992 2.1787
Os 0.0000 2.2992 2.1787
Os 2.2992 0.0000 2.1787
Br 2.2992 2.2992 0.0000
```